Computed, not measured: a geometry-optimized InNiO2 structure at the PBE with a Hubbard U level of DFT.

abc: 5.1093 5.1093 5.6903
angles: 63.32 63.32 90.00
With the nearest neighbours (Å) after each atom.
Positions (direct):
O 0.1247 0.6250 0.2500  2 In 2.11, 2 Ni 2.12
O 0.3750 0.3747 0.7500  2 In 2.11, 2 Ni 2.12
O 0.8750 0.8753 0.7500  2 In 2.11, 2 Ni 2.12
O 0.6253 0.1250 0.2500  2 In 2.11, 2 Ni 2.12
Ni 0.5000 0.5000 0.0000  4 O 2.12
Ni 0.2500 0.7500 0.5000  4 O 2.12
In 0.0000 0.0000 0.0000  4 O 2.11
In 0.7500 0.2500 0.5000  4 O 2.11

total energy: -4.6333 eV per atom